No. 1
Crystalline BaSrAc4 at its relaxed geometry. Source: Alexandria via LeMat-Bulk, functional PBE-GGA.

**Formation energy from the elements**: 0.168 eV/atom
**Calculated volume**: 312.8 Å³/cell

Structure (POSCAR):
```
BaSrAc4
1.0
0.0000 5.3879 5.3879
5.3879 0.0000 5.3879
5.3879 5.3879 0.0000
Ba Sr Ac
1 1 4
Direct
0.0000 0.0000 0.0000
0.7500 0.7500 0.7500
0.3756 0.3756 0.3756
0.3756 0.3756 0.8733
0.3756 0.8733 0.3756
0.8733 0.3756 0.3756
```

No. 2
Crystalline K2MgBeBr at its relaxed geometry. Source: Alexandria via LeMat-Bulk, functional PBE-GGA.

**Formation energy without anion corrections**: 0.23 eV/atom
**Calculated volume**: 221.0 Å³/cell

Structure (POSCAR):
```
K2MgBeBr
1.0
6.1587 0.0000 0.0000
0.0000 6.1587 0.0000
0.0000 0.0000 5.8254
K Mg Be Br
2 1 1 1
Direct
0.0000 0.5000 0.0000
0.5000 0.0000 0.0000
0.0000 0.0000 0.5000
0.5000 0.5000 0.5000
0.0000 0.0000 0.0000
```

No. 3
Crystalline Tm2UCrC4 at its relaxed geometry. Source: Alexandria via LeMat-Bulk, functional PBE-GGA.

**Formation energy from the elements**: -0.025 eV/atom
**Calculated volume**: 229.2 Å³/cell

Structure (POSCAR):
```
Tm2UCrC4
1.0
1.7004 -5.7144 0.0000
1.7004 5.7144 0.0000
0.0000 0.0000 11.7940
Tm U Cr C
4 2 2 8
Direct
0.1312 0.8688 0.5450
0.1312 0.8688 0.9550
0.8688 0.1312 0.0450
0.8688 0.1312 0.4550
0.4042 0.5958 0.7500
0.5958 0.4042 0.2500
0.3314 0.6686 0.2500
0.6686 0.3314 0.7500
0.0703 0.9297 0.7500
0.2274 0.7726 0.1361
0.2274 0.7726 0.3639
0.5000 0.5000 0.0000
0.5000 0.5000 0.5000
0.7726 0.2274 0.6361
0.7726 0.2274 0.8639
0.9297 0.0703 0.2500
```

No. 4
Crystalline Pu2BiRh at its relaxed geometry. Source: Alexandria via LeMat-Bulk, functional PBE-GGA.

**Formation energy from the elements**: -0.287 eV/atom
**Relative energy among the computed polymorphs**: 0.049 eV per atom
**Calculated volume**: 92.4 Å³/cell

Structure (POSCAR):
```
Pu2BiRh
1.0
4.4819 0.0000 0.0000
0.0000 4.4819 0.0000
0.0000 0.0000 4.5980
Pu Bi Rh
2 1 1
Direct
0.0000 0.5000 0.0000
0.5000 0.0000 0.0000
0.0000 0.0000 0.5000
0.5000 0.5000 0.5000
```

no.,VASP energy (eV/atom),total magnetic moment (μB per atom)
1,-3.17,0.000
2,-1.61,0.089
3,-8.37,0.233
4,-10.26,2.848